Below is a relaxed Nb2CrInF crystal, with properties calculated at the PBE+U level.

Cell lengths 4.273, 5.057, 4.273 Å; angles 90.00, 90.00, 90.00 degrees
Each line ends with the local moment (μB).
Atoms (fractional coordinates):
In 0.000 0.500 0.000  -0.06
F 0.000 0.000 0.000  -0.02
Cr 0.500 0.500 0.500  4.00
Nb 0.000 0.000 0.500  -0.17
Nb 0.500 0.000 0.000  -0.23

Results
Total energy in eV per atom: -6.33
Space-group type: No. 123
N(E_F) in states/eV/atom: 1.03
Calculated volume in Å³/atom: 18.46